(1)
# Ba2InPb (PBE, optimized geometry)
# theoretical density	5.78	Mg/m³
# offset from the most stable computed form	298.0	meV per atom
# ΔH_f (0 K)	-0.21	eV/atom
# VASP energy	-11.12	eV for the cell shown
data_Ba2InPb
_cell_length_a 4.079
_cell_length_b 5.766
_cell_length_c 7.285
_cell_angle_alpha 90.00
_cell_angle_beta 90.00
_cell_angle_gamma 90.00
_symmetry_space_group_name_H-M 'P m m 2'
_symmetry_Int_Tables_number 25
loop_
_symmetry_equiv_pos_as_xyz
'x,y,z'
'-x,-y,z'
'-x,y,z'
'x,-y,z'
loop_
_atom_site_label
_atom_site_type_symbol
_atom_site_fract_x
_atom_site_fract_y
_atom_site_fract_z
Ba1 Ba 0.000 0.000 0.000
Ba2 Ba 0.500 0.500 0.402
In1 In 0.000 0.000 0.519
Pb1 Pb 0.500 0.500 0.877

***

(2)
# LuThAl (PBE, optimized geometry)
# theoretical density	8.93	Mg/m³
# offset from the most stable computed form	121.6	meV per atom
# ΔH_f (0 K)	-0.05	eV/atom
# VASP energy	-15.84	eV for the cell shown
data_LuThAl
_cell_length_a 5.0849
_cell_length_b 5.0849
_cell_length_c 3.6053
_cell_angle_alpha 90.00
_cell_angle_beta 90.00
_cell_angle_gamma 120.00
_symmetry_space_group_name_H-M 'P 3 m 1'
_symmetry_Int_Tables_number 156
loop_
_symmetry_equiv_pos_as_xyz
'x,y,z'
'-y,x-y,z'
'-x+y,-x,z'
'-y,-x,z'
'-x+y,y,z'
'x,x-y,z'
loop_
_atom_site_label
_atom_site_type_symbol
_atom_site_fract_x
_atom_site_fract_y
_atom_site_fract_z
Lu1 Lu 0.0000 0.0000 0.0000
Th1 Th 0.6667 0.3333 0.5399
Al1 Al 0.3333 0.6667 0.1479

***

(3)
# Zn3InAg3 (PBE, optimized geometry)
# theoretical density	5.72	Mg/m³
# offset from the most stable computed form	455.6	meV per atom
# ΔH_f (0 K)	0.45	eV/atom
# VASP energy	-23.99	eV for the cell shown
data_Zn3InAg3
_cell_length_a 7.168
_cell_length_b 7.168
_cell_length_c 7.168
_cell_angle_alpha 90.00
_cell_angle_beta 90.00
_cell_angle_gamma 90.00
_symmetry_space_group_name_H-M 'P m -3 n'
_symmetry_Int_Tables_number 223
_symmetry_space_group_name_Hall '-P 4n 2 3'
loop_
_atom_site_label
_atom_site_type_symbol
_atom_site_fract_x
_atom_site_fract_y
_atom_site_fract_z
Zn1 Zn 0.000 0.250 0.500
In1 In 0.000 0.000 0.000
Ag1 Ag 0.000 0.500 0.250

***

(4)
# CrGaCuTc (PBE, optimized geometry)
# theoretical density	8.75	Mg/m³
# ΔH_f (0 K)	0.06	eV/atom
# VASP energy	-107.53	eV for the cell shown
data_CrGaCuTc
_cell_length_a 5.990
_cell_length_b 5.990
_cell_length_c 5.990
_cell_angle_alpha 90.00
_cell_angle_beta 90.00
_cell_angle_gamma 90.00
_symmetry_space_group_name_H-M 'F -4 3 m'
_symmetry_Int_Tables_number 216
_symmetry_space_group_name_Hall 'F -4 2 3'
loop_
_atom_site_label
_atom_site_type_symbol
_atom_site_fract_x
_atom_site_fract_y
_atom_site_fract_z
Cr1 Cr 0.000 0.000 0.000
Ga1 Ga 0.000 0.000 0.500
Cu1 Cu 0.250 0.250 0.250
Tc1 Tc 0.250 0.250 0.750

***

(5)
# CuAgPd2F8 (PBE, optimized geometry)
# ΔE_f (raw)	-1.256	eV/atom
# theoretical density	5.24	Mg/m³
# VASP energy	-47.38	eV for the cell shown
data_CuAgPd2F8
_cell_length_a 4.891
_cell_length_b 4.904
_cell_length_c 7.118
_cell_angle_alpha 86.35
_cell_angle_beta 86.65
_cell_angle_gamma 87.15
_symmetry_space_group_name_H-M 'P -1'
_symmetry_Int_Tables_number 2
loop_
_symmetry_equiv_pos_as_xyz
'x,y,z'
'-x,-y,-z'
loop_
_atom_site_label
_atom_site_type_symbol
_atom_site_fract_x
_atom_site_fract_y
_atom_site_fract_z
Cu1 Cu 0.000 0.000 0.000
Ag1 Ag 0.000 0.000 0.500
Pd1 Pd 0.488 0.488 0.764
F1 F 0.196 0.794 0.779
F2 F 0.204 0.803 0.221
F3 F 0.288 0.285 0.984
F4 F 0.323 0.321 0.460

***

(6)
# NaTlCuBr3 (PBE, optimized geometry)
# ΔE_f (raw)	-0.884	eV/atom
# theoretical density	4.81	Mg/m³
# VASP energy	-36.20	eV for the cell shown
data_NaTlCuBr3
_cell_length_a 9.364
_cell_length_b 4.206
_cell_length_c 9.588
_cell_angle_alpha 90.00
_cell_angle_beta 104.00
_cell_angle_gamma 90.00
_symmetry_space_group_name_H-M 'P 1 21/m 1'
_symmetry_Int_Tables_number 11
loop_
_symmetry_equiv_pos_as_xyz
'x,y,z'
'-x,-y,-z'
'-x,y+1/2,-z'
'x,-y+1/2,z'
loop_
_atom_site_label
_atom_site_type_symbol
_atom_site_fract_x
_atom_site_fract_y
_atom_site_fract_z
Na1 Na 0.157 0.250 0.146
Tl1 Tl 0.308 0.750 0.789
Cu1 Cu 0.434 0.750 0.424
Br1 Br 0.059 0.250 0.829
Br2 Br 0.297 0.250 0.474
Br3 Br 0.389 0.750 0.155

***

(7)
# Nd6Sm2ErTh (PBE, optimized geometry)
# theoretical density	7.54	Mg/m³
# ΔH_f (0 K)	0.14	eV/atom
# VASP energy	-194.36	eV for the cell shown
data_Nd6Sm2ErTh
_cell_length_a 9.299
_cell_length_b 15.121
_cell_length_c 9.939
_cell_angle_alpha 90.00
_cell_angle_beta 99.25
_cell_angle_gamma 90.00
_symmetry_space_group_name_H-M 'C 1 2/c 1'
_symmetry_Int_Tables_number 15
loop_
_symmetry_equiv_pos_as_xyz
'x,y,z'
'-x,-y,-z'
'-x,y,-z+1/2'
'x,-y,z+1/2'
'x+1/2,y+1/2,z'
'-x+1/2,-y+1/2,-z'
'-x+1/2,y+1/2,-z+1/2'
'x+1/2,-y+1/2,z+1/2'
loop_
_atom_site_label
_atom_site_type_symbol
_atom_site_fract_x
_atom_site_fract_y
_atom_site_fract_z
Nd1 Nd 0.069 0.181 0.444
Nd2 Nd 0.097 0.396 0.620
Nd3 Nd 0.205 0.218 0.812
Sm1 Sm 0.242 0.045 0.047
Er1 Er 0.000 0.407 0.250
Th1 Th 0.000 0.022 0.750

***

(8)
# DyScAlCd (PBE, optimized geometry)
# theoretical density	6.30	Mg/m³
# ΔH_f (0 K)	-0.35	eV/atom
# VASP energy	-67.91	eV for the cell shown
data_DyScAlCd
_cell_length_a 7.152
_cell_length_b 7.152
_cell_length_c 7.152
_cell_angle_alpha 90.00
_cell_angle_beta 90.00
_cell_angle_gamma 90.00
_symmetry_space_group_name_H-M 'F -4 3 m'
_symmetry_Int_Tables_number 216
_symmetry_space_group_name_Hall 'F -4 2 3'
loop_
_atom_site_label
_atom_site_type_symbol
_atom_site_fract_x
_atom_site_fract_y
_atom_site_fract_z
Dy1 Dy 0.000 0.000 0.000
Sc1 Sc 0.000 0.000 0.500
Al1 Al 0.250 0.250 0.750
Cd1 Cd 0.250 0.250 0.250

***

(9)
# TbPuOsRh (PBE, optimized geometry)
# theoretical density	14.49	Mg/m³
# ΔH_f (0 K)	-0.30	eV/atom
# VASP energy	-155.03	eV for the cell shown
data_TbPuOsRh
_cell_length_a 6.833
_cell_length_b 6.833
_cell_length_c 6.833
_cell_angle_alpha 90.00
_cell_angle_beta 90.00
_cell_angle_gamma 90.00
_symmetry_space_group_name_H-M 'F -4 3 m'
_symmetry_Int_Tables_number 216
_symmetry_space_group_name_Hall 'F -4 2 3'
loop_
_atom_site_label
_atom_site_type_symbol
_atom_site_fract_x
_atom_site_fract_y
_atom_site_fract_z
Tb1 Tb 0.000 0.000 0.000
Pu1 Pu 0.000 0.000 0.500
Os1 Os 0.250 0.250 0.750
Rh1 Rh 0.250 0.250 0.250

***

(10)
# CaCr2Ru (PBE, optimized geometry)
# theoretical density	6.82	Mg/m³
# offset from the most stable computed form	430.1	meV per atom
# ΔH_f (0 K)	0.80	eV/atom
# VASP energy	-109.23	eV for the cell shown
data_CaCr2Ru
_cell_length_a 6.205
_cell_length_b 6.205
_cell_length_c 6.205
_cell_angle_alpha 90.00
_cell_angle_beta 90.00
_cell_angle_gamma 90.00
_symmetry_space_group_name_H-M 'F m -3 m'
_symmetry_Int_Tables_number 225
_symmetry_space_group_name_Hall '-F 4 2 3'
loop_
_atom_site_label
_atom_site_type_symbol
_atom_site_fract_x
_atom_site_fract_y
_atom_site_fract_z
Ca1 Ca 0.000 0.000 0.000
Cr1 Cr 0.250 0.250 0.250
Ru1 Ru 0.000 0.000 0.500

***

(11)
# RbTlPt2 (PBE, optimized geometry)
# theoretical density	10.92	Mg/m³
# offset from the most stable computed form	586.5	meV per atom
# ΔH_f (0 K)	0.41	eV/atom
# VASP energy	-55.16	eV for the cell shown
data_RbTlPt2
_cell_length_a 8.160
_cell_length_b 8.160
_cell_length_c 6.209
_cell_angle_alpha 90.00
_cell_angle_beta 90.00
_cell_angle_gamma 90.00
_symmetry_space_group_name_H-M 'I -4 2 d'
_symmetry_Int_Tables_number 122
_symmetry_space_group_name_Hall 'I -4 2bw'
loop_
_atom_site_label
_atom_site_type_symbol
_atom_site_fract_x
_atom_site_fract_y
_atom_site_fract_z
Rb1 Rb 0.000 0.000 0.000
Tl1 Tl 0.000 0.000 0.500
Pt1 Pt 0.202 0.750 0.625

***

(12)
# Ca4In (PBE, optimized geometry)
# theoretical density	2.20	Mg/m³
# offset from the most stable computed form	158.8	meV per atom
# ΔH_f (0 K)	0.03	eV/atom
# VASP energy	-21.23	eV for the cell shown
data_Ca4In
_cell_length_a 7.457
_cell_length_b 7.457
_cell_length_c 7.457
_cell_angle_alpha 90.00
_cell_angle_beta 90.00
_cell_angle_gamma 90.00
_symmetry_space_group_name_H-M 'I m -3 m'
_symmetry_Int_Tables_number 229
_symmetry_space_group_name_Hall '-I 4 2 3'
loop_
_atom_site_label
_atom_site_type_symbol
_atom_site_fract_x
_atom_site_fract_y
_atom_site_fract_z
Ca1 Ca 0.250 0.250 0.250
In1 In 0.000 0.000 0.000